Computed, not measured: a geometry-optimized BaCr2Ag structure at the PBEsol level of DFT.

## Properties
Raw total energy, eV per cell: -23.59
Polymorph energy (0 for the lowest one), meV per atom: 0.0
Energy of formation, eV per atom: 0.589
Total moment, μB per formula unit: 0.037
Crystal system: monoclinic
Density, g/cm3: 7.22

Geometry as CIF:
```
data_BaCr2Ag
_chemical_formula_sum 'Ba1 Cr2 Ag1'
_space_group_name_H-M_alt 'P 1 m 1'
_space_group_IT_number 6
_space_group_name_Hall 'P -2y'
_cell_length_a 3.1705
_cell_length_b 3.1711
_cell_length_c 7.9868
_cell_angle_alpha 90.00
_cell_angle_beta 90.07
_cell_angle_gamma 90.00
loop_
_atom_site_label
_atom_site_fract_x
_atom_site_fract_y
_atom_site_fract_z
Ba1 0.0000 0.0000 0.0000
Cr1 0.4992 0.5000 0.3350
Cr2 0.9990 0.0000 0.4562
Ag1 0.4993 0.5000 0.6784
```